Here is crystalline Cu3Ru5 at its relaxed geometry from Alexandria. Energies are from GGA-PBE.

Cell: 4.540 6.587 7.665 Å, 87.04 79.44 76.85°
Sites, in units of the cell vectors:
1 Cu 0.134 0.147 0.006
2 Cu 0.281 0.935 0.474
3 Cu 0.362 0.506 0.384
4 Cu 0.638 0.494 0.616
5 Cu 0.719 0.065 0.526
6 Cu 0.866 0.853 0.994
7 Ru 0.012 0.702 0.678
8 Ru 0.167 0.274 0.677
9 Ru 0.268 0.506 0.925
10 Ru 0.321 0.811 0.160
11 Ru 0.451 0.846 0.794
12 Ru 0.549 0.154 0.206
13 Ru 0.679 0.189 0.840
14 Ru 0.732 0.494 0.075
15 Ru 0.833 0.726 0.323
16 Ru 0.988 0.298 0.322

Computed properties:
distance to the lowest polymorph of the same formula: 20 meV/atom
ΔE_f: 0.36 eV/atom
calculated volume: 13.71 Å³/atom
size of the total moment: 0.00 μB per formula unit
energy: -6.973 eV/atom